1.
Compound: SrOsCl2
Source: Alexandria
Functional: PBE-GGA
Structure: optimized geometry

Values from the calculation:
**Crystal system**: orthorhombic
**E above lowest polymorph**: 0.49 eV/f.u.
**E**: -17.72 eV per cell
**ΔE_f (raw)**: -0.2780 eV/atom

a = 4.821 Å, b = 4.821 Å, c = 3.900 Å
α = 90.00°, β = 90.00°, γ = 97.48°
Fractional positions:
Sr1 0.000 0.000 0.000
Os1 0.500 0.500 0.000
Cl1 0.303 0.697 0.500
Cl2 0.697 0.303 0.500

***

2.
Compound: SrOsCl2
Source: Alexandria
Functional: PBE-GGA
Structure: optimized geometry

Values from the calculation:
**Crystal system**: trigonal
**E above lowest polymorph**: 1.71 eV/f.u.
**E**: -16.50 eV per cell
**ΔE_f (raw)**: 0.0267 eV/atom

a = 9.047 Å, b = 9.047 Å, c = 9.047 Å
α = 21.72°, β = 21.72°, γ = 21.72°
Fractional positions:
Sr1 0.000 0.000 0.000
Os1 0.500 0.500 0.500
Cl1 0.412 0.412 0.412
Cl2 0.588 0.588 0.588